An optimized crystal structure of MnAs. Source: Alexandria, functional PBEsol.

It has space group Pnma (No. 62), with a = 5.404 Å, b = 3.364 Å, c = 5.961 Å, α = 90.00°, β = 90.00° and γ = 90.00°. The distinct sites, in fractional coordinates, are Mn at (0.004, 0.250, 0.192) and As at (0.195, 0.250, 0.580).

Its energy relative to the elements is -0.288 eV per atom. As for the spin magnetization: 6.4 μB/cell.